A plane-wave DFT calculation with PBE was carried out for a relaxed structure of LiTaVFe2.

The structure in POSCAR format:
```
LiTaVFe2
1.0
-1.516 2.126 -3.435
3.629 -1.476 -2.515
-2.238 -3.497 -1.177
V Fe Ta Li
1 2 1 1
direct
0.000 0.000 0.000 V
0.500 0.000 0.000 Fe
0.000 0.000 0.500 Fe
0.000 0.500 0.000 Ta
0.500 0.500 0.500 Li
```

Summary:
- final energy (eV per atom) = -6.857
- total magnetic moment (μB/cell) = 2.67
- density of states at the Fermi level (states/eV/cell) = 4.382
- ΔE_f (kJ/mol of atoms) = 106.6



A plane-wave DFT calculation with PBE was carried out for a relaxed structure of Ba2NaF.

The structure in POSCAR format:
```
Ba2NaF
1.0
8.421 0.000 0.000
0.000 8.421 0.000
4.210 4.210 4.964
F Ba Na
2 4 2
direct
0.250 0.750 0.500 F
0.500 0.500 0.000 F
0.505 0.125 0.250 Ba
0.375 0.495 0.750 Ba
0.875 0.755 0.750 Ba
0.245 0.625 0.250 Ba
0.000 0.000 0.000 Na
0.750 0.250 0.500 Na
```

Summary:
- final energy (eV per atom) = -3.064
- total magnetic moment (μB/cell) = 0.00
- density of states at the Fermi level (states/eV/cell) = 5.072
- uncorrected formation energy (eV/atom) = -1.305
- energy above the most stable polymorph in this dataset (meV per atom) = 0



A plane-wave DFT calculation with PBE was carried out for a relaxed structure of TaAgSe2.

The structure in POSCAR format:
```
TaAgSe2
1.0
-3.424 -0.503 0.713
0.804 -2.945 1.781
0.683 3.786 5.951
Se Ag Ta
2 1 1
direct
0.000 0.000 0.879 Se
0.500 0.500 0.347 Se
0.500 0.500 0.757 Ag
0.000 0.000 0.517 Ta
```

Summary:
- final energy (eV per atom) = -5.497
- total magnetic moment (μB/cell) = 0.00
- density of states at the Fermi level (states/eV/cell) = 3.002
- uncorrected formation energy (eV/atom) = -0.078



A plane-wave DFT calculation with PBE was carried out for a relaxed structure of SrScAs.

The structure in POSCAR format:
```
SrScAs
1.0
4.585 0.000 0.000
-2.293 3.971 0.000
0.000 0.000 4.814
Sc Sr As
1 1 1
direct
0.667 0.333 0.176 Sc
0.333 0.667 0.676 Sr
0.000 0.000 0.148 As
```

Summary:
- final energy (eV per atom) = -4.926
- total magnetic moment (μB/cell) = 0.00
- density of states at the Fermi level (states/eV/cell) = 2.347
- ΔE_f (kJ/mol of atoms) = -68.1



A plane-wave DFT calculation with PBE was carried out for a relaxed structure of Nb2GaRu.

The structure in POSCAR format:
```
Nb2GaRu
1.0
2.916 0.000 0.000
1.458 2.525 0.000
1.458 0.842 9.055
Ru Nb Ga
1 2 1
direct
0.000 0.000 0.000 Ru
0.747 0.747 0.758 Nb
0.253 0.253 0.242 Nb
0.500 0.500 0.500 Ga
```

Summary:
- final energy (eV per atom) = -8.171
- total magnetic moment (μB/cell) = 0.00
- density of states at the Fermi level (states/eV/cell) = 3.917
- ΔE_f (kJ/mol of atoms) = -5.9



A plane-wave DFT calculation with PBE was carried out for a relaxed structure of TbGaBi2.

The structure in POSCAR format:
```
TbGaBi2
1.0
-1.589 -2.529 3.967
-1.795 -4.598 -0.543
6.375 -5.430 2.201
Tb Ga Bi
1 1 2
direct
0.500 0.500 0.500 Tb
0.000 0.000 0.000 Ga
0.108 0.108 0.677 Bi
0.892 0.892 0.323 Bi
```

Summary:
- final energy (eV per atom) = -3.830
- total magnetic moment (μB/cell) = 0.00
- density of states at the Fermi level (states/eV/cell) = 0.820
- ΔE_f (kJ/mol of atoms) = 2.4
- energy above the most stable polymorph in this dataset (meV per atom) = 405



A plane-wave DFT calculation with PBE was carried out for a relaxed structure of InP.

The structure in POSCAR format:
```
InP
1.0
3.464 0.003 -0.001
-0.004 3.821 0.000
0.003 -1.910 3.309
In P
1 1
direct
0.349 0.050 0.122 In
0.848 0.717 0.455 P
```

Summary:
- final energy (eV per atom) = -3.896
- total magnetic moment (μB/cell) = 0.00
- density of states at the Fermi level (states/eV/cell) = 0.924
- ΔE_f (kJ/mol of atoms) = 17.2



A plane-wave DFT calculation with PBE was carried out for a relaxed structure of Ba2ZnSe2.

The structure in POSCAR format:
```
Ba2ZnSe2
1.0
6.230 0.000 0.000
0.000 6.230 0.000
3.115 3.115 6.192
Se Ba Zn
2 2 1
direct
0.312 0.312 0.377 Se
0.688 0.688 0.623 Se
0.250 0.750 0.500 Ba
0.750 0.250 0.500 Ba
0.000 0.000 0.000 Zn
```

Summary:
- final energy (eV per atom) = -3.536
- total magnetic moment (μB/cell) = 0.00
- density of states at the Fermi level (states/eV/cell) = 0.000
- uncorrected formation energy (eV/atom) = -1.118



A plane-wave DFT calculation with PBE was carried out for a relaxed structure of AsSe2Br.

The structure in POSCAR format:
```
AsSe2Br
1.0
3.047 -0.012 0.000
-0.936 2.899 0.000
0.000 0.000 11.372
Se Br As
2 1 1
direct
0.000 0.000 0.431 Se
0.000 0.000 0.069 Se
0.500 0.500 0.750 Br
0.500 0.500 0.250 As
```

Summary:
- final energy (eV per atom) = -2.970
- total magnetic moment (μB/cell) = 0.00
- density of states at the Fermi level (states/eV/cell) = 2.288
- uncorrected formation energy (eV/atom) = 0.353
- energy above the most stable polymorph in this dataset (meV per atom) = 505



A plane-wave DFT calculation with PBE was carried out for a relaxed structure of ZrSF2.

The structure in POSCAR format:
```
ZrSF2
1.0
-1.670 3.215 2.047
0.072 3.803 -1.686
-3.525 1.734 -1.371
F S Zr
2 1 1
direct
0.250 0.250 0.250 F
0.750 0.750 0.750 F
0.000 0.000 0.000 S
0.500 0.500 0.500 Zr
```

Summary:
- final energy (eV per atom) = -5.931
- total magnetic moment (μB/cell) = 0.00
- density of states at the Fermi level (states/eV/cell) = 0.004
- uncorrected formation energy (eV/atom) = -1.827
- energy above the most stable polymorph in this dataset (meV per atom) = 891



A plane-wave DFT calculation with PBE was carried out for a relaxed structure of Sr3HfI.

The structure in POSCAR format:
```
Sr3HfI
1.0
-6.195 1.443 -1.255
-1.578 -6.261 0.589
-1.081 0.868 6.334
Sr I Hf
3 1 1
direct
0.000 0.000 0.500 Sr
0.000 0.500 0.000 Sr
0.500 0.000 0.000 Sr
0.500 0.500 0.500 I
0.000 0.000 0.000 Hf
```

Summary:
- final energy (eV per atom) = -2.757
- total magnetic moment (μB/cell) = 4.80
- density of states at the Fermi level (states/eV/cell) = 4.752
- uncorrected formation energy (eV/atom) = 0.553
- energy above the most stable polymorph in this dataset (meV per atom) = 84



A plane-wave DFT calculation with PBE was carried out for a relaxed structure of PuBe2Ir.

The structure in POSCAR format:
```
PuBe2Ir
1.0
-0.309 -4.085 -1.305
3.456 -2.026 -1.561
1.868 -3.132 2.278
Be Ir Pu
2 1 1
direct
0.250 0.250 0.250 Be
0.750 0.750 0.750 Be
0.500 0.500 0.500 Ir
0.000 0.000 0.000 Pu
```

Summary:
- final energy (eV per atom) = -7.706
- total magnetic moment (μB/cell) = 4.02
- density of states at the Fermi level (states/eV/cell) = 10.504
- ΔE_f (kJ/mol of atoms) = -4.3
- energy above the most stable polymorph in this dataset (meV per atom) = 259



A plane-wave DFT calculation with PBE was carried out for a relaxed structure of YAlCoPt2.

The structure in POSCAR format:
```
YAlCoPt2
1.0
-2.209 3.356 -2.566
-3.693 -2.029 0.526
-0.810 2.506 3.974
Pt Al Y Co
2 1 1 1
direct
0.000 0.000 0.500 Pt
0.500 0.000 0.000 Pt
0.000 0.500 0.000 Al
0.500 0.500 0.500 Y
0.000 0.000 0.000 Co
```

Summary:
- final energy (eV per atom) = -6.090
- total magnetic moment (μB/cell) = 1.71
- density of states at the Fermi level (states/eV/cell) = 5.296
- ΔE_f (kJ/mol of atoms) = -20.4



A plane-wave DFT calculation with PBE was carried out for a relaxed structure of Tb3PmN3.

The structure in POSCAR format:
```
Tb3PmN3
1.0
-0.384 -4.085 2.855
4.896 -0.845 -0.550
0.932 2.754 4.066
Tb N Pm
3 3 1
direct
0.000 0.500 0.000 Tb
0.000 0.000 0.500 Tb
0.500 0.000 0.000 Tb
0.000 0.500 0.500 N
0.500 0.500 0.000 N
0.500 0.000 0.500 N
0.500 0.500 0.500 Pm
```

Summary:
- final energy (eV per atom) = -7.516
- total magnetic moment (μB/cell) = 0.00
- density of states at the Fermi level (states/eV/cell) = 2.754
- uncorrected formation energy (eV/atom) = -1.285